Computed, not measured: a relaxed CoHRu2Pt crystal at the PBE level of DFT.

Cell: 3.8499 3.8499 3.8280 Å, 90.00 90.00 90.00°
Closest atoms and distances in Å follow each position.
Fractional positions:
Co: 0.0000 0.0000 0.0000  2 H 1.91
H: 0.0000 0.0000 0.5000  2 Co 1.91, 4 Ru 1.92
Ru: 0.0000 0.5000 0.5000  2 H 1.92
Ru: 0.5000 0.0000 0.5000  2 H 1.92
Pt: 0.5000 0.5000 0.0000  8 Ru 2.71, 4 Co 2.72

Computed properties:
As for the total energy: -6.900 eV per atom. For the total magnetic moment, the calculation gives 0.343 μB per atom. As for the space-group type: No. 123.